Density functional theory data (PBE) for a relaxed structure of DyZnInTe3.

Cell and atoms, written as CIF:
```
data_DyZnInTe3
_chemical_formula_sum 'Dy2 Zn2 In2 Te6'
_cell_length_a 8.754
_cell_length_b 4.340
_cell_length_c 11.124
_cell_angle_alpha 90.00
_cell_angle_beta 108.56
_cell_angle_gamma 90.00
_symmetry_space_group_name_H-M 'P 1 21/m 1'
_symmetry_Int_Tables_number 11
loop_
_symmetry_equiv_pos_as_xyz
'x,y,z'
'-x,-y,-z'
'-x,y+1/2,-z'
'x,-y+1/2,z'
loop_
_atom_site_label
_atom_site_fract_x
_atom_site_fract_y
_atom_site_fract_z
Dy1 0.191 0.250 0.144
Zn1 0.421 0.750 0.389
In1 0.235 0.750 0.709
Te1 0.060 0.250 0.854
Te2 0.266 0.250 0.444
Te3 0.446 0.750 0.158
```

Properties
energy above the lowest structure with this stoichiometry: 0.023 eV per atom
electronic total energy: -3.760 eV per atom